Ta2CoHW | PBE | optimized geometry

POSCAR file:
```
Ta2CoHW
1.0
4.398 0.000 0.000
0.000 4.398 0.000
0.000 0.000 3.354
Ta Co H W
2 1 1 1
direct
0.000 0.500 0.000 Ta
0.500 0.000 0.000 Ta
0.000 0.000 0.500 Co
0.000 0.000 0.000 H
0.500 0.500 0.500 W
```

Results
* calculated volume: 64.9 Å³/f.u.
* space group: P4/mmm

=====

Ta2CoHW | PBE | optimized geometry

POSCAR file:
```
Ta2CoHW
1.0
4.299 0.000 0.000
0.000 4.299 0.000
0.000 0.000 3.599
Ta Co H W
2 1 1 1
direct
0.000 0.500 0.000 Ta
0.500 0.000 0.000 Ta
0.000 0.000 0.500 Co
0.500 0.500 0.000 H
0.500 0.500 0.500 W
```

Results
* calculated volume: 66.5 Å³/f.u.
* space group: P4/mmm

=====

TbCoH6 | PBE | optimized geometry

POSCAR file:
```
TbCoH6
1.0
2.149 1.240 3.634
-2.149 1.240 3.634
0.000 -2.481 3.634
Tb Co H
1 1 6
direct
0.000 0.000 0.000 Tb
0.500 0.500 0.500 Co
0.081 0.596 0.596 H
0.404 0.404 0.919 H
0.404 0.919 0.404 H
0.596 0.081 0.596 H
0.596 0.596 0.081 H
0.919 0.404 0.404 H
```

Results
* calculated volume: 58.1 Å³/f.u.
* space group: R-3m

=====

TbCoH2 | PBE | optimized geometry

POSCAR file:
```
TbCoH2
1.0
1.913 1.104 3.822
-1.913 1.104 3.822
0.000 -2.209 3.822
Tb Co H
1 1 2
direct
0.000 0.000 0.000 Tb
0.500 0.500 0.500 Co
0.364 0.364 0.364 H
0.636 0.636 0.636 H
```

Results
* calculated volume: 48.4 Å³/f.u.
* space group: R-3m

=====

TbCoH3 | PBE | optimized geometry

POSCAR file:
```
TbCoH3
1.0
2.470 -2.470 0.000
2.470 2.470 0.000
-2.460 0.000 4.099
Tb Co H
1 1 3
direct
0.000 0.000 0.000 Tb
0.338 0.338 0.675 Co
0.302 0.802 0.603 H
0.533 0.533 0.066 H
0.802 0.302 0.603 H
```

Results
* calculated volume: 50.0 Å³/f.u.
* space group: Cm

=====

Tb4Co2H | PBE | optimized geometry

POSCAR file:
```
Tb4Co2H
1.0
6.880 -1.881 0.000
6.880 1.881 0.000
-1.033 0.000 5.630
Tb Co H
4 2 1
direct
0.081 0.081 0.279 Tb
0.343 0.343 0.177 Tb
0.657 0.657 0.823 Tb
0.919 0.919 0.721 Tb
0.265 0.265 0.624 Co
0.735 0.735 0.376 Co
0.500 0.500 0.000 H
```

Results
* calculated volume: 145.7 Å³/f.u.
* space group: C2/m

=====

TbCo2H8 | PBE | optimized geometry

POSCAR file:
```
TbCo2H8
1.0
4.052 0.000 0.000
0.000 4.052 0.000
0.000 0.000 4.761
Tb Co H
1 2 8
direct
0.000 0.000 0.000 Tb
0.000 0.500 0.500 Co
0.500 0.000 0.500 Co
0.283 0.283 0.318 H
0.283 0.283 0.682 H
0.283 0.717 0.318 H
0.283 0.717 0.682 H
0.717 0.283 0.318 H
0.717 0.283 0.682 H
0.717 0.717 0.318 H
0.717 0.717 0.682 H
```

Results
* calculated volume: 78.2 Å³/f.u.
* space group: P4/mmm

=====

Tb2CoH8 | PBE | optimized geometry

POSCAR file:
```
Tb2CoH8
1.0
6.678 -1.767 0.000
6.678 1.767 0.000
-1.268 0.000 3.924
Tb Co H
2 1 8
direct
0.144 0.144 0.143 Tb
0.856 0.856 0.857 Tb
0.500 0.500 0.500 Co
0.000 0.000 0.292 H
0.000 0.000 0.708 H
0.237 0.237 0.737 H
0.400 0.400 0.169 H
0.400 0.400 0.631 H
0.600 0.600 0.369 H
0.600 0.600 0.831 H
0.763 0.763 0.263 H
```

Results
* calculated volume: 92.6 Å³/f.u.
* space group: C2/m

=====

Tb12Co3H5 | PBE | optimized geometry

POSCAR file:
```
Tb12Co3H5
1.0
-7.472 7.472 7.472
7.472 -7.472 7.472
7.472 7.472 -7.472
Tb Co H
48 12 20
direct
0.029 0.218 0.122 Tb
0.029 0.311 0.907 Tb
0.093 0.622 0.404 Tb
0.093 0.971 0.689 Tb
0.096 0.718 0.689 Tb
0.096 0.878 0.407 Tb
0.122 0.029 0.218 Tb
0.122 0.593 0.904 Tb
0.189 0.218 0.596 Tb
0.189 0.471 0.593 Tb
0.218 0.122 0.029 Tb
0.218 0.596 0.189 Tb
0.282 0.311 0.904 Tb
0.282 0.471 0.378 Tb
0.311 0.904 0.282 Tb
0.311 0.907 0.029 Tb
0.378 0.282 0.471 Tb
0.378 0.596 0.907 Tb
0.404 0.093 0.622 Tb
0.404 0.811 0.782 Tb
0.407 0.096 0.878 Tb
0.407 0.811 0.529 Tb
0.471 0.378 0.282 Tb
0.471 0.593 0.189 Tb
0.529 0.407 0.811 Tb
0.529 0.622 0.718 Tb
0.593 0.189 0.471 Tb
0.593 0.904 0.122 Tb
0.596 0.189 0.218 Tb
0.596 0.907 0.378 Tb
0.622 0.404 0.093 Tb
0.622 0.718 0.529 Tb
0.689 0.093 0.971 Tb
0.689 0.096 0.718 Tb
0.718 0.529 0.622 Tb
0.718 0.689 0.096 Tb
0.782 0.404 0.811 Tb
0.782 0.878 0.971 Tb
0.811 0.529 0.407 Tb
0.811 0.782 0.404 Tb
0.878 0.407 0.096 Tb
0.878 0.971 0.782 Tb
0.904 0.122 0.593 Tb
0.904 0.282 0.311 Tb
0.907 0.029 0.311 Tb
0.907 0.378 0.596 Tb
0.971 0.689 0.093 Tb
0.971 0.782 0.878 Tb
0.125 0.250 0.375 Co
0.125 0.375 0.750 Co
0.250 0.375 0.125 Co
0.250 0.875 0.625 Co
0.375 0.125 0.250 Co
0.375 0.750 0.125 Co
0.625 0.250 0.875 Co
0.625 0.875 0.750 Co
0.750 0.125 0.375 Co
0.750 0.625 0.875 Co
0.875 0.625 0.250 Co
0.875 0.750 0.625 Co
0.000 0.000 0.000 H
0.000 0.000 0.500 H
0.000 0.500 0.000 H
0.000 0.500 0.500 H
0.125 0.750 0.875 H
0.125 0.875 0.250 H
0.250 0.125 0.875 H
0.250 0.625 0.375 H
0.375 0.250 0.625 H
0.375 0.625 0.750 H
0.500 0.000 0.000 H
0.500 0.000 0.500 H
0.500 0.500 0.000 H
0.500 0.500 0.500 H
0.625 0.375 0.250 H
0.625 0.750 0.375 H
0.750 0.375 0.625 H
0.750 0.875 0.125 H
0.875 0.125 0.750 H
0.875 0.250 0.125 H
```

Results
* calculated volume: 417.1 Å³/f.u.
* space group: Ia-3d

=====

TbCoH3 | PBE | optimized geometry

POSCAR file:
```
TbCoH3
1.0
3.504 0.000 0.000
0.000 3.504 0.000
0.000 0.000 3.504
Tb Co H
1 1 3
direct
0.000 0.000 0.000 Tb
0.500 0.500 0.500 Co
0.000 0.500 0.500 H
0.500 0.000 0.500 H
0.500 0.500 0.000 H
```

Results
* calculated volume: 43.0 Å³/f.u.
* space group: Pm-3m

=====

TbZnCo2H8 | PBE | optimized geometry

POSCAR file:
```
TbZnCo2H8
1.0
4.575 0.000 0.000
-2.288 3.962 0.000
0.000 0.000 6.125
Tb Zn Co H
1 1 2 8
direct
0.000 0.000 0.000 Tb
0.000 0.000 0.500 Zn
0.333 0.667 0.339 Co
0.667 0.333 0.661 Co
0.149 0.297 0.290 H
0.149 0.851 0.290 H
0.297 0.149 0.710 H
0.333 0.667 0.087 H
0.667 0.333 0.913 H
0.703 0.851 0.290 H
0.851 0.149 0.710 H
0.851 0.703 0.710 H
```

Results
* calculated volume: 111.0 Å³/f.u.
* space group: P-3m1

=====

CoTcH3 | PBE | optimized geometry

POSCAR file:
```
CoTcH3
1.0
3.187 0.000 0.000
0.000 3.187 0.000
0.000 0.000 3.187
Co Tc H
1 1 3
direct
0.000 0.000 0.000 Co
0.500 0.500 0.500 Tc
0.000 0.000 0.500 H
0.000 0.500 0.000 H
0.500 0.000 0.000 H
```

Results
* calculated volume: 32.4 Å³/f.u.
* space group: Pm-3m

=====

| no. | energy (eV per cell) |
| --- | --- |
| 1 | -47.63 |
| 2 | -46.62 |
| 3 | -34.70 |
| 4 | -19.49 |
| 5 | -23.31 |
| 6 | -37.81 |
| 7 | -46.83 |
| 8 | -46.81 |
| 9 | -390.79 |
| 10 | -24.13 |
| 11 | -45.79 |
| 12 | -26.40 |